Entry 1:
36
Lattice="7.1413 0.0000 0.0000 0.0000 10.7249 0.0000 0.0000 0.0000 11.6353" Properties=species:S:1:pos:R:3 comment="K3Fe2S4 (GGA-PBE, optimized geometry)" dft_energy_ev_per_atom=-4.887 vol_a3_per_atom=24.754 rho_g_cm3=2.66 sg="Pnma, No. 62" pbc="T T T"
K 0.4922 0.7895 1.6057
K 0.4922 4.5729 1.6057
K 0.6653 2.6812 8.9330
K 2.9054 8.0437 3.1153
K 3.0785 6.1520 7.4234
K 3.0785 9.9353 7.4234
K 4.0629 0.7895 4.2119
K 4.0629 4.5729 4.2119
K 4.2360 2.6812 8.5200
K 6.4760 8.0437 2.7023
K 6.6491 6.1520 10.0296
K 6.6491 9.9353 10.0296
Fe 0.3742 1.3827 5.4924
Fe 0.3742 3.9798 5.4924
Fe 3.1965 6.7451 11.3101
Fe 3.1965 9.3422 11.3101
Fe 3.9448 1.3827 0.3252
Fe 3.9448 3.9798 0.3252
Fe 6.7671 6.7451 6.1429
Fe 6.7671 9.3422 6.1429
S 0.6083 8.0437 7.6917
S 1.0531 5.9173 4.5419
S 1.0531 10.1700 4.5419
S 1.4396 8.0437 0.3854
S 2.1311 2.6812 6.2031
S 2.5176 0.5549 10.3596
S 2.5176 4.8076 10.3596
S 2.9624 2.6812 1.8740
S 4.1790 8.0437 9.7613
S 4.6237 5.9173 1.2757
S 4.6237 10.1700 1.2757
S 5.0102 8.0437 5.4322
S 5.7018 2.6812 11.2499
S 6.0882 0.5549 7.0934
S 6.0882 4.8076 7.0934
S 6.5330 2.6812 3.9437


Entry 2:
3
Lattice="0.0000 3.1733 3.1733 3.1733 0.0000 3.1733 3.1733 3.1733 0.0000" Properties=species:S:1:pos:R:3 comment="NpInCo (GGA-PBE, optimized geometry)" dft_energy_ev_per_atom=-7.337 vol_a3_per_atom=21.302 rho_g_cm3=10.67 sg="F-43m, No. 216" pbc="T T T"
Np 0.0000 0.0000 0.0000
In 3.1733 3.1733 3.1733
Co 4.7599 4.7599 4.7599


Entry 3:
3
Lattice="0.0000 3.0820 3.0820 3.0820 0.0000 3.0820 3.0820 3.0820 0.0000" Properties=species:S:1:pos:R:3 comment="HfTcPd (GGA-PBE, optimized geometry)" delta_e_f_ev_per_atom=0.330 vol_a3_per_atom=19.517 de_polymorph_mev_per_atom=0.0 rho_g_cm3=10.86 sg="F-43m, No. 216" pbc="T T T"
Hf 0.0000 0.0000 0.0000
Tc 3.0820 3.0820 3.0820
Pd 1.5410 1.5410 1.5410


Entry 4:
10
Lattice="4.0053 0.0000 0.0000 0.0000 4.0053 0.0000 0.0000 0.0000 8.7221" Properties=species:S:1:pos:R:3 comment="Y2CoReN6 (GGA-PBE, optimized geometry)" dft_energy_ev_per_atom=-7.279 vol_a3_per_atom=13.992 rho_g_cm3=6.02 sg="P4/mmm, No. 123" pbc="T T T"
Y 0.0000 0.0000 2.1546
Y 0.0000 0.0000 6.5674
Co 2.0026 2.0026 4.3610
Re 2.0026 2.0026 0.0000
N 0.0000 0.0000 0.0000
N 0.0000 0.0000 4.3610
N 0.0000 2.0026 0.7514
N 0.0000 2.0026 7.9706
N 2.0026 0.0000 0.7514
N 2.0026 0.0000 7.9706


Entry 5:
4
Lattice="0.0000 3.1936 3.1936 3.1936 0.0000 3.1936 3.1936 3.1936 0.0000" Properties=species:S:1:pos:R:3 comment="MgCoSbPt (GGA-PBE, optimized geometry)" vol_a3_per_atom=16.286 de_polymorph_mev_per_atom=0.0 rho_g_cm3=10.20 sg="F-43m, No. 216" pbc="T T T"
Mg 0.0000 0.0000 0.0000
Co 4.7904 4.7904 4.7904
Sb 3.1936 3.1936 3.1936
Pt 1.5968 1.5968 1.5968


Entry 6:
9
Lattice="4.4735 0.0000 0.0000 0.0000 7.0918 4.0604 0.0000 -7.0918 4.0604" Properties=species:S:1:pos:R:3 comment="Sr2NdMg3CdHg2 (GGA-PBE, optimized geometry)" dft_energy_ev_per_atom=-1.919 vol_a3_per_atom=28.626 rho_g_cm3=5.84 sg="Amm2, No. 38" pbc="T T T"
Sr 0.0000 -4.1434 4.0604
Sr 0.0000 4.1434 4.0604
Nd 0.0000 0.0000 5.0270
Mg 2.2367 -1.6792 2.6941
Mg 2.2367 1.6792 2.6941
Mg 2.2367 0.0000 7.7888
Cd 0.0000 0.0000 1.7022
Hg 2.2367 -2.2783 5.7096
Hg 2.2367 2.2783 5.7096


Entry 7:
3
Lattice="0.0000 3.6798 3.6798 3.6798 0.0000 3.6798 3.6798 3.6798 0.0000" Properties=species:S:1:pos:R:3 comment="NaHoZr (GGA-PBE, optimized geometry)" dft_energy_ev_per_atom=-3.479 vol_a3_per_atom=33.220 rho_g_cm3=4.65 sg="F-43m, No. 216" pbc="T T T"
Na 0.0000 0.0000 0.0000
Ho 1.8399 1.8399 1.8399
Zr 3.6798 3.6798 3.6798


Entry 8:
3
Lattice="0.0000 3.0914 3.0914 3.0914 0.0000 3.0914 3.0914 3.0914 0.0000" Properties=species:S:1:pos:R:3 comment="LaBeTc (GGA-PBE, optimized geometry)" vol_a3_per_atom=19.697 de_polymorph_mev_per_atom=0.0 rho_g_cm3=6.91 sg="F-43m, No. 216" pbc="T T T"
La 0.0000 0.0000 0.0000
Be 3.0914 3.0914 3.0914
Tc 4.6372 4.6372 4.6372